[1]
{"formula": "In2SiH", "functional": "PBE", "state": "optimized geometry", "lattice_angstrom": [[-2.489, 2.489, 6.778], [2.489, -2.489, 6.778], [2.489, 2.489, -6.778]], "species": ["In", "In", "In", "In", "Si", "Si", "H", "H"], "fractional_positions": [[0.055, 0.625, 0.930], [0.375, 0.305, 0.430], [0.695, 0.125, 0.070], [0.875, 0.945, 0.570], [0.250, 0.750, 0.500], [0.500, 0.500, 0.000], [0.000, 0.000, 0.000], [0.750, 0.250, 0.500]], "crystal_system": "tetragonal", "e_above_lowest_polymorph_kj_per_mol_atoms": 0.0}

[2]
{"formula": "Sm5HgRu4", "functional": "PBE", "state": "optimized geometry", "lattice_angstrom": [[3.484, 0.000, 0.000], [0.000, 3.484, 0.000], [0.000, 0.000, 18.289]], "species": ["Sm", "Sm", "Sm", "Sm", "Sm", "Hg", "Ru", "Ru", "Ru", "Ru"], "fractional_positions": [[0.000, 0.000, 0.000], [0.000, 0.000, 0.188], [0.000, 0.000, 0.378], [0.000, 0.000, 0.622], [0.000, 0.000, 0.812], [0.500, 0.500, 0.500], [0.500, 0.500, 0.095], [0.500, 0.500, 0.289], [0.500, 0.500, 0.711], [0.500, 0.500, 0.905]], "formation_enthalpy_0k_ev_per_atom": -0.26, "crystal_system": "tetragonal"}

[3]
{"formula": "U2Te6Pt", "functional": "PBE", "state": "optimized geometry", "lattice_angstrom": [[7.044, 0.000, 0.000], [0.000, 7.044, 0.000], [0.000, 0.000, 12.490]], "species": ["U", "U", "U", "U", "Te", "Te", "Te", "Te", "Te", "Te", "Te", "Te", "Te", "Te", "Te", "Te", "Pt", "Pt"], "fractional_positions": [[0.000, 0.000, 0.170], [0.000, 0.000, 0.830], [0.500, 0.500, 0.330], [0.500, 0.500, 0.670], [0.198, 0.198, 0.347], [0.198, 0.198, 0.653], [0.206, 0.206, 0.000], [0.294, 0.706, 0.500], [0.302, 0.698, 0.153], [0.302, 0.698, 0.847], [0.698, 0.302, 0.153], [0.698, 0.302, 0.847], [0.706, 0.294, 0.500], [0.794, 0.794, 0.000], [0.802, 0.802, 0.347], [0.802, 0.802, 0.653], [0.000, 0.000, 0.500], [0.500, 0.500, 0.000]], "formation_energy_uncorrected_ev_per_atom": -0.288, "crystal_system": "tetragonal"}

Computed values of spin magnetization (unit: μB/atom) for the preceding records, in sequence: 0.00, 0.00, 0.31.